# 1
DyMg9Cd3 | GGA-PBE | optimized geometry

Output
* formation enthalpy at 0 K: -93.9 meV per atom
* SG: C2/m
* DOS(E_F): 5.43 states/eV per cell
* total DFT energy (no corrections): -1.7630 eV/atom

The structure in POSCAR format:
```
DyMg9Cd3
1.0
2.949 -7.088 0.000
2.949 7.088 0.000
-2.864 0.000 7.123
Dy Mg Cd
1 9 3
Direct
0.000 0.000 0.000 Dy
0.000 0.000 0.500 Mg
0.003 0.652 0.653 Mg
0.290 0.502 0.790 Mg
0.348 0.997 0.347 Mg
0.498 0.710 0.210 Mg
0.502 0.290 0.790 Mg
0.652 0.003 0.653 Mg
0.710 0.498 0.210 Mg
0.997 0.348 0.347 Mg
0.000 0.500 0.000 Cd
0.500 0.000 0.000 Cd
0.500 0.500 0.500 Cd
```


# 2
CsGe2Pd2 | GGA-PBE | optimized geometry

Output
* formation enthalpy at 0 K: -205.2 meV per atom
* SG: I4/mmm
* relative energy among the computed polymorphs: 0.82 eV per formula unit
* DOS(E_F): 2.48 states/eV per cell
* total DFT energy (no corrections): -4.3000 eV/atom

The structure in POSCAR format:
```
CsGe2Pd2
1.0
-2.240 2.240 6.808
2.240 -2.240 6.808
2.240 2.240 -6.808
Cs Ge Pd
1 2 2
Direct
0.000 0.000 0.000 Cs
0.250 0.750 0.500 Ge
0.750 0.250 0.500 Ge
0.333 0.333 0.000 Pd
0.667 0.667 0.000 Pd
```


# 3
Er2HfZr | GGA-PBE | optimized geometry

Output
* formation enthalpy at 0 K: 137.4 meV per atom
* SG: P4/mmm
* relative energy among the computed polymorphs: 0.06 eV per formula unit
* DOS(E_F): 4.80 states/eV per cell
* total DFT energy (no corrections): -6.7694 eV/atom

The structure in POSCAR format:
```
Er2HfZr
1.0
4.652 0.000 0.000
0.000 4.652 0.000
0.000 0.000 4.781
Er Hf Zr
2 1 1
Direct
0.000 0.500 0.000 Er
0.500 0.000 0.000 Er
0.000 0.000 0.500 Hf
0.500 0.500 0.500 Zr
```


# 4
La2ZnCu3Pt12 | GGA-PBE | optimized geometry

Output
* formation enthalpy at 0 K: -108.6 meV per atom
* SG: R-3m
* DOS(E_F): 20.99 states/eV per cell
* total DFT energy (no corrections): -5.4368 eV/atom

The structure in POSCAR format:
```
La2ZnCu3Pt12
1.0
4.023 2.323 6.450
-4.023 2.323 6.450
0.000 -4.645 6.450
La Zn Cu Pt
2 1 3 12
Direct
0.122 0.122 0.122 La
0.878 0.878 0.878 La
0.500 0.500 0.500 Zn
0.000 0.500 0.500 Cu
0.500 0.000 0.500 Cu
0.500 0.500 0.000 Cu
0.121 0.630 0.630 Pt
0.125 0.125 0.626 Pt
0.125 0.626 0.125 Pt
0.370 0.370 0.879 Pt
0.370 0.879 0.370 Pt
0.374 0.875 0.875 Pt
0.626 0.125 0.125 Pt
0.630 0.121 0.630 Pt
0.630 0.630 0.121 Pt
0.875 0.374 0.875 Pt
0.875 0.875 0.374 Pt
0.879 0.370 0.370 Pt
```